[1]
! La4AlSe PBE optimized geometry; values from VASP
&SYSTEM
  ibrav = 0, nat = 6, ntyp = 3
/
ATOMIC_SPECIES
La 138.91 La.upf
Al 26.98 Al.upf
Se 78.96 Se.upf
ATOMIC_POSITIONS crystal
La 0.879 0.374 0.374
La 0.374 0.374 0.879
La 0.374 0.879 0.374
La 0.374 0.374 0.374
Al 0.000 0.000 0.000
Se 0.750 0.750 0.750
CELL_PARAMETERS angstrom
-4.442 -4.498 -0.782
-1.554 -3.819 4.855
-5.673 0.599 2.834
! Total magnetization: 0.000 μB per cell
! Energy relative to the elements, uncorrected: 5.9 kJ/mol of atoms

---

[2]
! LaAlSe4 PBE optimized geometry; values from VASP
&SYSTEM
  ibrav = 0, nat = 12, ntyp = 3
/
ATOMIC_SPECIES
La 138.91 La.upf
Al 26.98 Al.upf
Se 78.96 Se.upf
ATOMIC_POSITIONS crystal
La 0.000 0.000 0.000
La 0.750 0.250 0.500
Al 0.500 0.500 0.000
Al 0.250 0.750 0.500
Se 0.984 0.898 0.313
Se 0.165 0.234 0.813
Se 0.648 0.580 0.813
Se 0.330 0.415 0.313
Se 0.420 0.835 0.187
Se 0.102 0.670 0.687
Se 0.585 0.016 0.687
Se 0.766 0.352 0.187
CELL_PARAMETERS angstrom
-4.805 3.143 3.195
0.030 -4.662 4.630
7.500 4.639 -0.040
! Total magnetization: 0.000 μB per cell
! Energy relative to the elements, uncorrected: -95.2 kJ/mol of atoms
! E above lowest polymorph: 0 meV per atom

---

[3]
! La3AlSe6 PBE optimized geometry; values from VASP
&SYSTEM
  ibrav = 0, nat = 20, ntyp = 3
/
ATOMIC_SPECIES
La 138.91 La.upf
Al 26.98 Al.upf
Se 78.96 Se.upf
ATOMIC_POSITIONS crystal
La 0.479 0.916 0.715
La 0.979 0.715 0.916
La 0.399 0.397 0.603
La 0.899 0.603 0.397
La 0.979 0.084 0.285
La 0.479 0.285 0.084
Al 0.027 0.198 0.802
Al 0.527 0.802 0.198
Se 0.190 0.686 0.637
Se 0.690 0.637 0.686
Se 0.188 0.425 0.901
Se 0.688 0.901 0.425
Se 0.159 0.042 0.958
Se 0.685 0.216 0.784
Se 0.185 0.784 0.216
Se 0.659 0.958 0.042
Se 0.188 0.099 0.575
Se 0.688 0.575 0.099
Se 0.190 0.363 0.314
Se 0.690 0.314 0.363
CELL_PARAMETERS angstrom
-1.509 4.359 -5.283
-9.063 -0.522 2.158
2.865 7.234 5.151
! Total magnetization: 0.000 μB per cell
! Energy relative to the elements, uncorrected: -169.9 kJ/mol of atoms

---

[4]
! LaAlSe3 PBE optimized geometry; values from VASP
&SYSTEM
  ibrav = 0, nat = 20, ntyp = 3
/
ATOMIC_SPECIES
La 138.91 La.upf
Al 26.98 Al.upf
Se 78.96 Se.upf
ATOMIC_POSITIONS crystal
La 0.720 0.876 0.435
La 0.280 0.124 0.565
La 0.220 0.124 0.065
La 0.780 0.876 0.935
Al 0.377 0.680 0.596
Al 0.623 0.320 0.404
Al 0.877 0.320 0.904
Al 0.123 0.680 0.096
Se 0.982 0.021 0.734
Se 0.018 0.979 0.266
Se 0.482 0.979 0.766
Se 0.518 0.021 0.234
Se 0.316 0.754 0.360
Se 0.684 0.246 0.640
Se 0.816 0.246 0.140
Se 0.184 0.754 0.860
Se 0.808 0.614 0.067
Se 0.192 0.386 0.933
Se 0.308 0.386 0.433
Se 0.692 0.614 0.567
CELL_PARAMETERS angstrom
7.623 0.000 0.000
0.000 8.687 -4.045
0.000 -0.436 8.543
! Total magnetization: 0.000 μB per cell
! Energy relative to the elements, uncorrected: -135.0 kJ/mol of atoms
! E above lowest polymorph: 7 meV per atom

---

[5]
! LaAlSe3 PBE optimized geometry; values from VASP
&SYSTEM
  ibrav = 0, nat = 5, ntyp = 3
/
ATOMIC_SPECIES
Al 26.98 Al.upf
Se 78.96 Se.upf
La 138.91 La.upf
ATOMIC_POSITIONS crystal
Al 0.500 0.500 0.500
Se 0.000 0.500 0.000
Se 0.000 0.000 0.500
Se 0.500 0.000 0.000
La 0.000 0.000 0.000
CELL_PARAMETERS angstrom
5.779 0.000 0.000
0.000 5.779 0.000
0.000 0.000 5.779
! Total magnetization: 0.000 μB per cell
! Energy relative to the elements, uncorrected: -26.7 kJ/mol of atoms
! E above lowest polymorph: 1130 meV per atom

---

[6]
! LaAlSe2 PBE optimized geometry; values from VASP
&SYSTEM
  ibrav = 0, nat = 8, ntyp = 3
/
ATOMIC_SPECIES
Al 26.98 Al.upf
Se 78.96 Se.upf
La 138.91 La.upf
ATOMIC_POSITIONS crystal
Al 0.500 0.500 0.000
Al 0.250 0.750 0.500
Se 0.593 0.125 0.250
Se 0.157 0.625 0.250
Se 0.375 0.407 0.750
Se 0.875 0.843 0.750
La 0.000 0.000 0.000
La 0.750 0.250 0.500
CELL_PARAMETERS angstrom
5.646 0.000 0.000
0.000 5.646 0.000
2.823 2.823 8.046
! Total magnetization: 0.000 μB per cell
! Energy relative to the elements, uncorrected: -82.5 kJ/mol of atoms
! E above lowest polymorph: 529 meV per atom

---

[7]
! LaAlSe2 PBE optimized geometry; values from VASP
&SYSTEM
  ibrav = 0, nat = 4, ntyp = 3
/
ATOMIC_SPECIES
Al 26.98 Al.upf
Se 78.96 Se.upf
La 138.91 La.upf
ATOMIC_POSITIONS crystal
Al 0.511 0.511 0.000
Se 0.983 0.983 0.000
Se 0.707 0.207 0.500
La 0.299 0.799 0.500
CELL_PARAMETERS angstrom
-5.840 -0.278 -3.526
-6.385 -1.303 2.036
5.708 3.578 1.109
! Total magnetization: 0.000 μB per cell
! Energy relative to the elements, uncorrected: -103.8 kJ/mol of atoms
! E above lowest polymorph: 308 meV per atom

---

[8]
! LaAlSe2 PBE optimized geometry; values from VASP
&SYSTEM
  ibrav = 0, nat = 4, ntyp = 3
/
ATOMIC_SPECIES
Al 26.98 Al.upf
Se 78.96 Se.upf
La 138.91 La.upf
ATOMIC_POSITIONS crystal
Al 0.000 0.650 0.378
Se 0.000 0.995 0.944
Se 0.500 0.281 0.378
La 0.500 0.574 0.800
CELL_PARAMETERS angstrom
-3.852 1.675 0.183
-1.341 -3.332 2.265
0.666 0.884 5.926
! Total magnetization: 0.000 μB per cell
! Energy relative to the elements, uncorrected: -133.5 kJ/mol of atoms
! E above lowest polymorph: 0 meV per atom

---

[9]
! La2AlSe4 PBE optimized geometry; values from VASP
&SYSTEM
  ibrav = 0, nat = 14, ntyp = 3
/
ATOMIC_SPECIES
La 138.91 La.upf
Al 26.98 Al.upf
Se 78.96 Se.upf
ATOMIC_POSITIONS crystal
La 0.733 0.750 0.060
La 0.267 0.250 0.940
La 0.259 0.250 0.442
La 0.741 0.750 0.558
Al 0.258 0.750 0.190
Al 0.742 0.250 0.810
Se 0.501 0.492 0.252
Se 0.081 0.750 0.893
Se 0.919 0.250 0.107
Se 0.501 0.008 0.252
Se 0.919 0.250 0.602
Se 0.499 0.992 0.748
Se 0.499 0.508 0.748
Se 0.081 0.750 0.398
CELL_PARAMETERS angstrom
6.993 0.000 0.074
0.000 6.846 0.000
-2.488 0.000 7.797
! Total magnetization: 0.000 μB per cell
! Energy relative to the elements, uncorrected: -149.9 kJ/mol of atoms

---

[10]
! LaAlSe4 PBE optimized geometry; values from VASP
&SYSTEM
  ibrav = 0, nat = 6, ntyp = 3
/
ATOMIC_SPECIES
La 138.91 La.upf
Al 26.98 Al.upf
Se 78.96 Se.upf
ATOMIC_POSITIONS crystal
La 0.000 0.000 0.000
Al 0.750 0.750 0.750
Se 0.375 0.874 0.375
Se 0.874 0.375 0.375
Se 0.375 0.375 0.874
Se 0.375 0.375 0.375
CELL_PARAMETERS angstrom
0.000 4.146 4.146
4.146 0.000 4.146
4.146 4.146 0.000
! Total magnetization: 0.000 μB per cell
! Energy relative to the elements, uncorrected: -16.2 kJ/mol of atoms
! E above lowest polymorph: 818 meV per atom

---

[11]
! LaAlSe2 PBE optimized geometry; values from VASP
&SYSTEM
  ibrav = 0, nat = 4, ntyp = 3
/
ATOMIC_SPECIES
Al 26.98 Al.upf
Se 78.96 Se.upf
La 138.91 La.upf
ATOMIC_POSITIONS crystal
Al 0.500 0.000 0.500
Se 0.000 0.000 0.000
Se 0.500 0.500 0.000
La 0.000 0.500 0.500
CELL_PARAMETERS angstrom
-4.359 0.236 -2.313
2.166 -1.375 -4.222
-0.651 -3.651 0.855
! Total magnetization: 0.000 μB per cell
! Energy relative to the elements, uncorrected: -106.2 kJ/mol of atoms
! E above lowest polymorph: 283 meV per atom

---

[12]
! LaAlSe2 PBE optimized geometry; values from VASP
&SYSTEM
  ibrav = 0, nat = 4, ntyp = 3
/
ATOMIC_SPECIES
Al 26.98 Al.upf
Se 78.96 Se.upf
La 138.91 La.upf
ATOMIC_POSITIONS crystal
Al 0.500 0.250 0.250
Se 0.000 0.250 0.987
Se 0.000 0.250 0.513
La 0.500 0.750 0.750
CELL_PARAMETERS angstrom
-1.242 2.133 -2.801
-3.594 -0.540 1.183
0.493 5.606 4.049
! Total magnetization: 0.000 μB per cell
! Energy relative to the elements, uncorrected: -105.6 kJ/mol of atoms
! E above lowest polymorph: 289 meV per atom

---

[13]
! LaAlSe3 PBE optimized geometry; values from VASP
&SYSTEM
  ibrav = 0, nat = 10, ntyp = 3
/
ATOMIC_SPECIES
La 138.91 La.upf
Al 26.98 Al.upf
Se 78.96 Se.upf
ATOMIC_POSITIONS crystal
La 0.988 0.184 0.622
La 0.496 0.721 0.160
Al 0.742 0.636 0.708
Al 0.742 0.269 0.074
Se 0.489 0.350 0.789
Se 0.995 0.554 0.993
Se 0.493 0.288 0.334
Se 0.493 0.895 0.727
Se 0.992 0.009 0.055
Se 0.992 0.616 0.448
CELL_PARAMETERS angstrom
-2.295 -3.728 1.130
6.271 -4.533 -1.694
4.356 -0.851 6.562
! Total magnetization: 0.000 μB per cell
! Energy relative to the elements, uncorrected: -135.7 kJ/mol of atoms
! E above lowest polymorph: 0 meV per atom

---

[14]
! LaAl2Se4 PBE optimized geometry; values from VASP
&SYSTEM
  ibrav = 0, nat = 7, ntyp = 3
/
ATOMIC_SPECIES
La 138.91 La.upf
Al 26.98 Al.upf
Se 78.96 Se.upf
ATOMIC_POSITIONS crystal
La 0.500 0.500 0.000
Al 0.250 0.750 0.500
Al 0.750 0.250 0.500
Se 0.306 0.146 0.451
Se 0.854 0.306 0.160
Se 0.146 0.694 0.840
Se 0.694 0.854 0.549
CELL_PARAMETERS angstrom
-1.877 -2.469 -5.457
-1.510 -2.575 5.522
-2.864 5.584 0.150
! Total magnetization: 0.939 μB per cell
! Energy relative to the elements, uncorrected: -95.7 kJ/mol of atoms

---

[15]
! LaAlSe2 PBE optimized geometry; values from VASP
&SYSTEM
  ibrav = 0, nat = 4, ntyp = 3
/
ATOMIC_SPECIES
Al 26.98 Al.upf
Se 78.96 Se.upf
La 138.91 La.upf
ATOMIC_POSITIONS crystal
Al 0.000 0.000 0.363
Se 0.000 0.000 0.907
Se 0.500 0.500 0.365
La 0.500 0.500 0.865
CELL_PARAMETERS angstrom
-1.687 -1.500 3.596
2.776 -3.212 -0.037
3.881 3.318 3.205
! Total magnetization: 0.000 μB per cell
! Energy relative to the elements, uncorrected: -110.1 kJ/mol of atoms
! E above lowest polymorph: 243 meV per atom

---

[16]
! LaAlSe2 PBE optimized geometry; values from VASP
&SYSTEM
  ibrav = 0, nat = 4, ntyp = 3
/
ATOMIC_SPECIES
Al 26.98 Al.upf
Se 78.96 Se.upf
La 138.91 La.upf
ATOMIC_POSITIONS crystal
Al 0.750 0.750 0.750
Se 0.994 0.994 0.016
Se 0.506 0.506 0.484
La 0.250 0.250 0.250
CELL_PARAMETERS angstrom
-0.802 -2.685 3.289
-2.091 -3.715 -0.706
5.424 -5.498 -0.333
! Total magnetization: 0.000 μB per cell
! Energy relative to the elements, uncorrected: -108.1 kJ/mol of atoms
! E above lowest polymorph: 263 meV per atom

---

[17]
! LaAlSe2 PBE optimized geometry; values from VASP
&SYSTEM
  ibrav = 0, nat = 4, ntyp = 3
/
ATOMIC_SPECIES
Al 26.98 Al.upf
Se 78.96 Se.upf
La 138.91 La.upf
ATOMIC_POSITIONS crystal
Al 0.500 0.500 0.500
Se 0.000 0.000 0.000
Se 0.750 0.750 0.750
La 0.250 0.250 0.250
CELL_PARAMETERS angstrom
5.171 0.000 0.000
2.585 4.478 0.000
2.585 1.493 4.222
! Total magnetization: 0.000 μB per cell
! Energy relative to the elements, uncorrected: -49.8 kJ/mol of atoms
! E above lowest polymorph: 868 meV per atom

---

[18]
! LaAlSe PBE optimized geometry; values from VASP
&SYSTEM
  ibrav = 0, nat = 3, ntyp = 3
/
ATOMIC_SPECIES
Al 26.98 Al.upf
Se 78.96 Se.upf
La 138.91 La.upf
ATOMIC_POSITIONS crystal
Al 0.000 0.000 0.000
Se 0.250 0.250 0.250
La 0.500 0.500 0.500
CELL_PARAMETERS angstrom
4.940 0.000 0.000
2.470 4.278 0.000
2.470 1.426 4.034
! Total magnetization: 0.000 μB per cell
! Energy relative to the elements, uncorrected: -61.4 kJ/mol of atoms
! E above lowest polymorph: 432 meV per atom

---

[19]
! LaAlSe PBE optimized geometry; values from VASP
&SYSTEM
  ibrav = 0, nat = 3, ntyp = 3
/
ATOMIC_SPECIES
Al 26.98 Al.upf
Se 78.96 Se.upf
La 138.91 La.upf
ATOMIC_POSITIONS crystal
Al 0.500 0.500 0.500
Se 0.000 0.000 0.000
La 0.250 0.250 0.250
CELL_PARAMETERS angstrom
-2.967 -4.087 0.031
0.915 -3.808 -3.189
1.771 -4.393 1.754
! Total magnetization: 0.000 μB per cell
! Energy relative to the elements, uncorrected: -35.6 kJ/mol of atoms
! E above lowest polymorph: 698 meV per atom

---

[20]
! La3Al5Se12 PBE optimized geometry; values from VASP
&SYSTEM
  ibrav = 0, nat = 80, ntyp = 3
/
ATOMIC_SPECIES
La 138.91 La.upf
Al 26.98 Al.upf
Se 78.96 Se.upf
ATOMIC_POSITIONS crystal
La 0.750 0.375 0.125
La 0.875 0.750 0.125
La 0.375 0.750 0.625
La 0.250 0.125 0.375
La 0.875 0.125 0.250
La 0.375 0.625 0.250
La 0.625 0.375 0.750
La 0.125 0.875 0.750
La 0.750 0.875 0.625
La 0.625 0.250 0.375
La 0.125 0.250 0.875
La 0.250 0.625 0.875
Al 0.125 0.375 0.250
Al 0.000 0.500 0.000
Al 0.000 0.000 0.000
Al 0.375 0.250 0.125
Al 0.500 0.000 0.500
Al 0.500 0.500 0.000
Al 0.125 0.750 0.375
Al 0.750 0.125 0.875
Al 0.750 0.625 0.375
Al 0.375 0.125 0.750
Al 0.625 0.875 0.250
Al 0.500 0.500 0.500
Al 0.500 0.000 0.000
Al 0.000 0.000 0.500
Al 0.250 0.375 0.625
Al 0.250 0.875 0.125
Al 0.000 0.500 0.500
Al 0.875 0.250 0.625
Al 0.625 0.750 0.875
Al 0.875 0.625 0.750
Se 0.704 0.118 0.027
Se 0.322 0.527 0.408
Se 0.973 0.382 0.296
Se 0.527 0.204 0.118
Se 0.586 0.704 0.678
Se 0.973 0.592 0.178
Se 0.322 0.796 0.414
Se 0.092 0.914 0.118
Se 0.592 0.973 0.678
Se 0.704 0.586 0.178
Se 0.796 0.473 0.382
Se 0.822 0.908 0.027
Se 0.118 0.704 0.527
Se 0.382 0.408 0.086
Se 0.086 0.908 0.382
Se 0.414 0.118 0.592
Se 0.086 0.178 0.204
Se 0.473 0.678 0.092
Se 0.822 0.914 0.296
Se 0.118 0.414 0.092
Se 0.382 0.973 0.796
Se 0.592 0.618 0.414
Se 0.908 0.822 0.527
Se 0.796 0.322 0.914
Se 0.408 0.382 0.586
Se 0.092 0.178 0.473
Se 0.204 0.678 0.086
Se 0.178 0.086 0.704
Se 0.618 0.027 0.204
Se 0.882 0.586 0.908
Se 0.527 0.322 0.908
Se 0.586 0.882 0.408
Se 0.914 0.822 0.796
Se 0.914 0.092 0.618
Se 0.882 0.296 0.473
Se 0.178 0.092 0.973
Se 0.618 0.592 0.914
Se 0.408 0.027 0.322
Se 0.296 0.414 0.822
Se 0.204 0.527 0.618
Se 0.908 0.086 0.882
Se 0.678 0.204 0.586
Se 0.473 0.796 0.882
Se 0.027 0.408 0.822
Se 0.414 0.296 0.322
Se 0.027 0.618 0.704
Se 0.678 0.473 0.592
Se 0.296 0.882 0.973
CELL_PARAMETERS angstrom
-11.252 -3.933 -7.131
10.895 0.745 -8.584
2.615 -9.272 10.006
! Total magnetization: 0.000 μB per cell
! Energy relative to the elements, uncorrected: -125.2 kJ/mol of atoms